Entry from Alexandria: crystalline Hg3PdI at its relaxed geometry (PBE).

Calculated values
total DFT energy (no corrections): -0.1209 Ry/atom
relative energy among the computed polymorphs: 0.0000 eV/atom
ρ: 9816 kg/m³
energy relative to the elements, uncorrected: -115.9 meV/atom

a = 11.4903 Å, b = 9.1868 Å, c = 5.6730 Å
α = 90.00°, β = 109.34°, γ = 90.00°
With the nearest neighbours (Å) after each atom.
Space group C2/m (No. 12)
Symmetry-distinct sites (fractional):
Hg 0.0000 0.2436 0.0000 (multiplicity 4)  2 Pd 2.79, 2 I 3.12
Hg 0.1192 0.0000 0.7236 (multiplicity 4)  3 Pd 2.76-2.92, 1 Hg 3.06
Hg 0.2500 0.2500 0.5000 (multiplicity 4)  2 Pd 2.82
Pd 0.1294 0.0000 0.2448 (multiplicity 4)  7 Hg 2.76-2.92, 1 I 2.93
I 0.1287 0.5000 0.8235 (multiplicity 4)  1 Pd 2.93, 3 Hg 3.12-3.17

=====

Entry from Alexandria: crystalline K4H5Br at its relaxed geometry (PBE).

Calculated values
total DFT energy (no corrections): -0.1877 Ry/atom
ρ: 1400 kg/m³

a = 9.1111 Å, b = 11.7000 Å, c = 5.3716 Å
α = 90.00°, β = 90.00°, γ = 90.00°
With the nearest neighbours (Å) after each atom.
Space group Pmmn (No. 59, origin choice 2)
Symmetry-distinct sites (fractional):
K 0.0197 0.2500 0.0579 (multiplicity 4)  1 H 2.60
K 0.2500 0.5327 0.5982 (multiplicity 4)  1 H 2.73
H 0.0320 0.5011 0.0527 (multiplicity 8)  1 H 0.81
H 0.2500 0.7500 0.7853 (multiplicity 2)  4 K 2.60-2.73
Br 0.2500 0.2500 0.5838 (multiplicity 2)  6 K 3.30-3.52

=====

Entry from Alexandria: crystalline Na4Cd2InHg2 at its relaxed geometry (PBE).

Calculated values
total DFT energy (no corrections): -0.0946 Ry/atom
ΔE_f: -2.91 kcal/mol of atoms
ρ: 5528 kg/m³

a = 6.2724 Å, b = 6.7134 Å, c = 6.9162 Å
α = 104.62°, β = 90.33°, γ = 116.37°
With the nearest neighbours (Å) after each atom.
Space group P-1 (No. 2)
Symmetry-distinct sites (fractional):
Na 0.1806 0.3530 0.3668 (multiplicity 2)  3 Hg 3.12-3.38, 1 In 3.30, 3 Cd 3.31-3.45
Na 0.3162 0.2397 0.8148 (multiplicity 2)  3 Hg 3.17-3.49, 1 In 3.26, 3 Cd 3.26-3.52, 1 Na 3.51
Cd 0.4024 0.7926 0.8057 (multiplicity 2)  1 In 3.00, 2 Hg 3.00-3.33, 1 Cd 3.10, 3 Na 3.26-3.31
In 0.0000 0.5000 0.0000 (multiplicity 1)  2 Cd 3.00, 2 Hg 3.01, 4 Na 3.26-3.30
Hg 0.2312 0.8788 0.3899 (multiplicity 2)  2 Cd 3.00-3.33, 1 In 3.01, 3 Na 3.12-3.36, 1 Hg 3.19

=====

Entry from Alexandria: crystalline PrSmPb6 at its relaxed geometry (PBE).

Calculated values
total DFT energy (no corrections): -0.3186 Ry/atom
ΔE_f: -8.43 kcal/mol of atoms
ρ: 10644 kg/m³

a = 4.9276 Å, b = 4.9276 Å, c = 9.8591 Å
α = 90.00°, β = 90.00°, γ = 90.00°
With the nearest neighbours (Å) after each atom.
Space group P4/mmm (No. 123)
Symmetry-distinct sites (fractional):
Pr 0.0000 0.0000 0.0000 (multiplicity 1)  12 Pb 3.48-3.50
Sm 0.0000 0.0000 0.5000 (multiplicity 1)  12 Pb 3.47-3.48
Pb 0.0000 0.5000 0.2526 (multiplicity 4)  8 Pb 3.47-3.50, 2 Sm 3.47, 2 Pr 3.50
Pb 0.5000 0.5000 0.0000 (multiplicity 1)  4 Pr 3.48, 8 Pb 3.50
Pb 0.5000 0.5000 0.5000 (multiplicity 1)  8 Pb 3.47, 4 Sm 3.48

=====

Entry from Alexandria: crystalline Y2MgAu2 at its relaxed geometry (PBE).

Calculated values
total DFT energy (no corrections): -0.3464 Ry/atom
ΔE_f: -11.46 kcal/mol of atoms
ρ: 7548 kg/m³

a = 5.6500 Å, b = 5.6500 Å, c = 8.2150 Å
α = 90.00°, β = 90.00°, γ = 90.00°
With the nearest neighbours (Å) after each atom.
Space group I4/mmm (No. 139)
Symmetry-distinct sites (fractional):
Y 0.0000 0.5000 0.2500 (multiplicity 4)  4 Au 2.92
Mg 0.0000 0.0000 0.0000 (multiplicity 2)  2 Au 2.80
Au 0.0000 0.0000 0.3412 (multiplicity 4)  1 Au 2.61, 1 Mg 2.80

=====

Entry from Alexandria: crystalline Zr2Ti2Ni15 at its relaxed geometry (PBE).

Calculated values
total DFT energy (no corrections): -0.4841 Ry/atom
ΔE_f: -6.73 kcal/mol of atoms
ρ: 8079 kg/m³

a = 8.2005 Å, b = 8.2005 Å, c = 12.2664 Å
α = 90.00°, β = 90.00°, γ = 120.00°
With the nearest neighbours (Å) after each atom.
Space group R-3m (No. 166, hexagonal axes)
Symmetry-distinct sites (fractional):
Zr 0.0000 0.0000 0.1507 (multiplicity 6)  12 Ni 2.85-3.05, 1 Ti 3.02
Ti 0.0000 0.0000 0.3969 (multiplicity 6)  6 Ni 2.49-2.56, 1 Ti 2.53
Ni 0.0000 0.3088 0.5000 (multiplicity 18)  8 Ni 2.41-2.53
Ni 0.0000 0.5000 0.0000 (multiplicity 9)  8 Ni 2.39-2.41, 2 Ti 2.49
Ni 0.0049 0.5024 0.6570 (multiplicity 18)  8 Ni 2.34-2.51, 1 Ti 2.56

=====

Entry from Alexandria: crystalline CaPm6SmDy2 at its relaxed geometry (PBE).

Calculated values
total DFT energy (no corrections): -0.3166 Ry/atom
ΔE_f: 3.11 kcal/mol of atoms
ρ: 6622 kg/m³

a = 9.1963 Å, b = 15.4547 Å, c = 9.8841 Å
α = 90.00°, β = 98.41°, γ = 90.00°
With the nearest neighbours (Å) after each atom.
Space group C2/c (No. 15)
Symmetry-distinct sites (fractional):
Ca 0.0000 0.0979 0.2500 (multiplicity 4)  8 Pm 3.57-3.99, 2 Dy 3.66
Pm 0.0627 0.3232 0.4482 (multiplicity 8)  5 Pm 3.42-3.83, 1 Dy 3.48, 1 Sm 3.69
Pm 0.1038 0.1066 0.6226 (multiplicity 8)  3 Pm 3.26-3.42, 3 Dy 3.33-3.49, 1 Ca 3.58
Pm 0.2020 0.2702 0.8235 (multiplicity 8)  3 Pm 3.26-3.65, 2 Dy 3.51-3.64, 1 Ca 3.57
Sm 0.0000 0.4742 0.7500 (multiplicity 4)  4 Dy 3.45-3.49, 4 Pm 3.68-3.69
Dy 0.2490 0.4494 0.0436 (multiplicity 8)  6 Pm 3.33-3.64, 2 Sm 3.45-3.49, 1 Ca 3.66

=====

Entry from Alexandria: crystalline AsOsN2O at its relaxed geometry (PBE).

Calculated values
total DFT energy (no corrections): -0.4949 Ry/atom
ρ: 8551 kg/m³
energy relative to the elements, uncorrected: 764.4 meV/atom

a = 3.8326 Å, b = 3.8326 Å, c = 4.0872 Å
α = 90.00°, β = 90.00°, γ = 90.00°
With the nearest neighbours (Å) after each atom.
Space group P4/mmm (No. 123)
Symmetry-distinct sites (fractional):
As 0.0000 0.0000 0.0000 (multiplicity 1)  4 O 2.71, 8 N 2.80
Os 0.5000 0.5000 0.5000 (multiplicity 1)  4 N 1.92, 2 O 2.04
N 0.0000 0.5000 0.5000 (multiplicity 2)  2 Os 1.92
O 0.5000 0.5000 0.0000 (multiplicity 1)  2 Os 2.04

=====

Entry from Alexandria: crystalline AlTe3Br at its relaxed geometry (PBE).

Calculated values
total DFT energy (no corrections): -0.1997 Ry/atom
relative energy among the computed polymorphs: 0.0000 eV/atom
ρ: 5325 kg/m³
energy relative to the elements, uncorrected: 251.1 meV/atom

a = 5.3450 Å, b = 5.3450 Å, c = 5.3450 Å
α = 90.00°, β = 90.00°, γ = 90.00°
With the nearest neighbours (Å) after each atom.
Space group Pm-3m (No. 221)
Symmetry-distinct sites (fractional):
Al 0.0000 0.0000 0.0000 (multiplicity 1)  6 Te 2.67
Te 0.0000 0.0000 0.5000 (multiplicity 3)  2 Al 2.67
Br 0.5000 0.5000 0.5000 (multiplicity 1)  12 Te 3.78

=====

The calculation returns the following total moment values, one per record and in order: 0.00 0.00 0.00 0.00 0.00 0.01 0.00 0.00 0.00 μB/cell.